Entry 1:
# SnGeN2 PBE-GGA relaxed
data_SnGeN2
_cell_length_a 5.5759
_cell_length_b 5.5759
_cell_length_c 7.6113
_cell_angle_alpha 90.00
_cell_angle_beta 90.00
_cell_angle_gamma 90.00
_space_group_name_H-M_alt 'I -4 2 d'
_space_group_IT_number 122
_space_group_name_Hall 'I -4 2bw'
loop_
_atom_site_label
_atom_site_type_symbol
_atom_site_fract_x
_atom_site_fract_y
_atom_site_fract_z
_atom_site_occupancy
Sn1 Sn 0.0000 0.0000 0.0000 1
Ge1 Ge 0.0000 0.0000 0.5000 1
N1 N 0.1516 0.2500 0.6250 1
# Total magnetic moment   0.000 μB/atom
# Relative energy among the computed polymorphs   258 meV per atom



Entry 2:
# Sn5Ge2N6 PBE-GGA relaxed
data_Sn5Ge2N6
_cell_length_a 9.0242
_cell_length_b 7.0756
_cell_length_c 14.8142
_cell_angle_alpha 90.00
_cell_angle_beta 95.04
_cell_angle_gamma 90.00
_space_group_name_H-M_alt 'C 1 2/c 1'
_space_group_IT_number 15
loop_
_space_group_symop_operation_xyz
'x,y,z'
'-x,-y,-z'
'-x,y,-z+1/2'
'x,-y,z+1/2'
'x+1/2,y+1/2,z'
'-x+1/2,-y+1/2,-z'
'-x+1/2,y+1/2,-z+1/2'
'x+1/2,-y+1/2,z+1/2'
loop_
_atom_site_label
_atom_site_type_symbol
_atom_site_fract_x
_atom_site_fract_y
_atom_site_fract_z
_atom_site_occupancy
Sn1 Sn 0.0000 0.0975 0.2500 1
Sn2 Sn 0.0740 0.2164 0.4716 1
Sn3 Sn 0.1333 0.4129 0.6840 1
Ge1 Ge 0.2350 0.2904 0.9070 1
N1 N 0.0966 0.2844 0.1510 1
N2 N 0.1041 0.4038 0.8267 1
N3 N 0.1503 0.1058 0.9847 1
# Total magnetic moment   0.000 μB/atom



Entry 3:
# Sn2GeN PBE-GGA relaxed
data_Sn2GeN
_cell_length_a 5.6060
_cell_length_b 5.6060
_cell_length_c 11.6182
_cell_angle_alpha 90.00
_cell_angle_beta 90.00
_cell_angle_gamma 90.00
_space_group_name_H-M_alt 'I -4 2 d'
_space_group_IT_number 122
_space_group_name_Hall 'I -4 2bw'
loop_
_atom_site_label
_atom_site_type_symbol
_atom_site_fract_x
_atom_site_fract_y
_atom_site_fract_z
_atom_site_occupancy
Sn1 Sn 0.1856 0.2500 0.1250 1
Ge1 Ge 0.0000 0.0000 0.5000 1
N1 N 0.0000 0.0000 0.0000 1
# Total magnetic moment   0.000 μB/atom
# Relative energy among the computed polymorphs   0 meV per atom



Entry 4:
# SnGeN2 PBE-GGA relaxed
data_SnGeN2
_cell_length_a 3.0902
_cell_length_b 3.0902
_cell_length_c 18.8563
_cell_angle_alpha 90.00
_cell_angle_beta 90.00
_cell_angle_gamma 120.00
_space_group_name_H-M_alt 'R -3 m'
_space_group_IT_number 166
_space_group_name_Hall '-R 3 2"'
loop_
_atom_site_label
_atom_site_type_symbol
_atom_site_fract_x
_atom_site_fract_y
_atom_site_fract_z
_atom_site_occupancy
Sn1 Sn 0.0000 0.0000 0.0000 1
Ge1 Ge 0.0000 0.0000 0.5000 1
N1 N 0.0000 0.0000 0.1136 1
# Total magnetic moment   0.000 μB/atom
# Relative energy among the computed polymorphs   248 meV per atom



Entry 5:
# SnGeN2 PBE-GGA relaxed
data_SnGeN2
_cell_length_a 3.2732
_cell_length_b 3.2732
_cell_length_c 18.2092
_cell_angle_alpha 90.00
_cell_angle_beta 90.00
_cell_angle_gamma 120.00
_space_group_name_H-M_alt 'R -3 m'
_space_group_IT_number 166
_space_group_name_Hall '-R 3 2"'
loop_
_atom_site_label
_atom_site_type_symbol
_atom_site_fract_x
_atom_site_fract_y
_atom_site_fract_z
_atom_site_occupancy
Sn1 Sn 0.0000 0.0000 0.0000 1
Ge1 Ge 0.0000 0.0000 0.5000 1
N1 N 0.0000 0.0000 0.3946 1
# Total magnetic moment   0.000 μB/atom
# Relative energy among the computed polymorphs   374 meV per atom



Entry 6:
# Sn2GeN PBE-GGA relaxed
data_Sn2GeN
_cell_length_a 4.3142
_cell_length_b 4.3142
_cell_length_c 20.4692
_cell_angle_alpha 90.00
_cell_angle_beta 90.00
_cell_angle_gamma 120.00
_space_group_name_H-M_alt 'R -3 m'
_space_group_IT_number 166
_space_group_name_Hall '-R 3 2"'
loop_
_atom_site_label
_atom_site_type_symbol
_atom_site_fract_x
_atom_site_fract_y
_atom_site_fract_z
_atom_site_occupancy
Sn1 Sn 0.0000 0.0000 0.0951 1
Ge1 Ge 0.0000 0.0000 0.5000 1
N1 N 0.0000 0.0000 0.0000 1
# Total magnetic moment   0.000 μB/atom
# Relative energy among the computed polymorphs   262 meV per atom



Entry 7:
# TlSn2GeN PBE-GGA relaxed
data_TlSn2GeN
_cell_length_a 5.2835
_cell_length_b 5.2835
_cell_length_c 4.0681
_cell_angle_alpha 90.00
_cell_angle_beta 90.00
_cell_angle_gamma 90.00
_space_group_name_H-M_alt 'P 4/m m m'
_space_group_IT_number 123
_space_group_name_Hall '-P 4 2'
loop_
_atom_site_label
_atom_site_type_symbol
_atom_site_fract_x
_atom_site_fract_y
_atom_site_fract_z
_atom_site_occupancy
Tl1 Tl 0.0000 0.0000 0.0000 1
Sn1 Sn 0.0000 0.5000 0.5000 1
Ge1 Ge 0.5000 0.5000 0.0000 1
N1 N 0.5000 0.5000 0.5000 1
# Total magnetic moment   0.000 μB/atom



Entry 8:
# Tm4SnGeN PBE-GGA relaxed
data_Tm4SnGeN
_cell_length_a 6.4583
_cell_length_b 15.4133
_cell_length_c 6.4633
_cell_angle_alpha 90.00
_cell_angle_beta 90.00
_cell_angle_gamma 90.00
_space_group_name_H-M_alt 'C m c m'
_space_group_IT_number 63
_space_group_name_Hall '-C 2c 2'
loop_
_atom_site_label
_atom_site_type_symbol
_atom_site_fract_x
_atom_site_fract_y
_atom_site_fract_z
_atom_site_occupancy
Tm1 Tm 0.0000 0.0824 0.2500 1
Tm2 Tm 0.0000 0.4093 0.2500 1
Tm3 Tm 0.2500 0.2500 0.0000 1
Sn1 Sn 0.0000 0.3940 0.7500 1
Ge1 Ge 0.0000 0.1129 0.7500 1
N1 N 0.0000 0.2480 0.2500 1
# Total magnetic moment   0.000 μB/atom



Entry 9:
# Y4SnGeN PBE-GGA relaxed
data_Y4SnGeN
_cell_length_a 6.5775
_cell_length_b 15.7006
_cell_length_c 6.5828
_cell_angle_alpha 90.00
_cell_angle_beta 90.00
_cell_angle_gamma 90.00
_space_group_name_H-M_alt 'C m c m'
_space_group_IT_number 63
_space_group_name_Hall '-C 2c 2'
loop_
_atom_site_label
_atom_site_type_symbol
_atom_site_fract_x
_atom_site_fract_y
_atom_site_fract_z
_atom_site_occupancy
Y1 Y 0.0000 0.0811 0.2500 1
Y2 Y 0.0000 0.4109 0.2500 1
Y3 Y 0.2500 0.2500 0.0000 1
Sn1 Sn 0.0000 0.3935 0.7500 1
Ge1 Ge 0.0000 0.1130 0.7500 1
N1 N 0.0000 0.2485 0.2500 1
# Total magnetic moment   0.000 μB/atom



Entry 10:
# Sr6GeN2 PBE-GGA relaxed
data_Sr6GeN2
_cell_length_a 13.4971
_cell_length_b 5.3449
_cell_length_c 9.4544
_cell_angle_alpha 90.00
_cell_angle_beta 122.09
_cell_angle_gamma 90.00
_space_group_name_H-M_alt 'C 1 2/m 1'
_space_group_IT_number 12
loop_
_space_group_symop_operation_xyz
'x,y,z'
'-x,-y,-z'
'-x,y,-z'
'x,-y,z'
'x+1/2,y+1/2,z'
'-x+1/2,-y+1/2,-z'
'-x+1/2,y+1/2,-z'
'x+1/2,-y+1/2,z'
loop_
_atom_site_label
_atom_site_type_symbol
_atom_site_fract_x
_atom_site_fract_y
_atom_site_fract_z
_atom_site_occupancy
Sr1 Sr 0.0237 0.0000 0.1863 1
Sr2 Sr 0.1609 0.5000 0.6072 1
Sr3 Sr 0.2103 0.5000 0.0805 1
Ge1 Ge 0.0000 0.0000 0.5000 1
N1 N 0.1775 0.0000 0.0833 1
# Total magnetic moment   0.121 μB/atom



Entry 11:
# Sr2GeN3 PBE-GGA relaxed
data_Sr2GeN3
_cell_length_a 11.9685
_cell_length_b 6.0480
_cell_length_c 5.7886
_cell_angle_alpha 90.00
_cell_angle_beta 90.00
_cell_angle_gamma 90.00
_space_group_name_H-M_alt 'C m c 21'
_space_group_IT_number 36
loop_
_space_group_symop_operation_xyz
'x,y,z'
'-x,-y,z+1/2'
'-x,y,z'
'x,-y,z+1/2'
'x+1/2,y+1/2,z'
'-x+1/2,-y+1/2,z+1/2'
'-x+1/2,y+1/2,z'
'x+1/2,-y+1/2,z+1/2'
loop_
_atom_site_label
_atom_site_type_symbol
_atom_site_fract_x
_atom_site_fract_y
_atom_site_fract_z
_atom_site_occupancy
Sr1 Sr 0.1505 0.2426 0.0000 1
Ge1 Ge 0.0000 0.3039 0.4994 1
N1 N 0.0000 0.4987 0.7504 1
N2 N 0.1410 0.1790 0.4985 1
# Total magnetic moment   0.167 μB/atom
# Relative energy among the computed polymorphs   0 meV per atom



Entry 12:
# Sr4GeN PBE-GGA relaxed
data_Sr4GeN
_cell_length_a 7.0197
_cell_length_b 7.7347
_cell_length_c 8.2838
_cell_angle_alpha 106.52
_cell_angle_beta 115.07
_cell_angle_gamma 90.05
_space_group_name_H-M_alt 'P -1'
_space_group_IT_number 2
loop_
_space_group_symop_operation_xyz
'x,y,z'
'-x,-y,-z'
loop_
_atom_site_label
_atom_site_type_symbol
_atom_site_fract_x
_atom_site_fract_y
_atom_site_fract_z
_atom_site_occupancy
Sr1 Sr 0.0093 0.4632 0.2049 1
Sr2 Sr 0.1950 0.9635 0.2052 1
Sr3 Sr 0.2899 0.8463 0.6647 1
Sr4 Sr 0.3748 0.3461 0.6647 1
Ge1 Ge 0.2900 0.2503 0.0005 1
N1 N 0.0000 0.5000 0.5000 1
N2 N 0.5000 0.0000 0.5000 1
# Total magnetic moment   0.124 μB/atom



Entry 13:
# Sr2GeN PBE-GGA relaxed
data_Sr2GeN
_cell_length_a 7.2701
_cell_length_b 7.2701
_cell_length_c 7.2701
_cell_angle_alpha 90.00
_cell_angle_beta 90.00
_cell_angle_gamma 90.00
_space_group_name_H-M_alt 'F m -3 m'
_space_group_IT_number 225
_space_group_name_Hall '-F 4 2 3'
loop_
_atom_site_label
_atom_site_type_symbol
_atom_site_fract_x
_atom_site_fract_y
_atom_site_fract_z
_atom_site_occupancy
Sr1 Sr 0.2500 0.2500 0.2500 1
Ge1 Ge 0.0000 0.0000 0.0000 1
N1 N 0.0000 0.0000 0.5000 1
# Total magnetic moment   0.000 μB/atom



Entry 14:
# SrGeN PBE-GGA relaxed
data_SrGeN
_cell_length_a 5.5236
_cell_length_b 5.5235
_cell_length_c 7.4959
_cell_angle_alpha 90.00
_cell_angle_beta 90.13
_cell_angle_gamma 90.00
_space_group_name_H-M_alt 'C 1 2/m 1'
_space_group_IT_number 12
loop_
_space_group_symop_operation_xyz
'x,y,z'
'-x,-y,-z'
'-x,y,-z'
'x,-y,z'
'x+1/2,y+1/2,z'
'-x+1/2,-y+1/2,-z'
'-x+1/2,y+1/2,-z'
'x+1/2,-y+1/2,z'
loop_
_atom_site_label
_atom_site_type_symbol
_atom_site_fract_x
_atom_site_fract_y
_atom_site_fract_z
_atom_site_occupancy
Sr1 Sr 0.2495 0.0000 0.3356 1
Ge1 Ge 0.2489 0.5000 0.0748 1
N1 N 0.2492 0.5000 0.3199 1
# Total magnetic moment   0.000 μB/atom



Entry 15:
# Sr4GeN4 PBE-GGA relaxed
data_Sr4GeN4
_cell_length_a 6.7683
_cell_length_b 6.8883
_cell_length_c 8.5798
_cell_angle_alpha 82.30
_cell_angle_beta 74.15
_cell_angle_gamma 60.72
_space_group_name_H-M_alt 'P -1'
_space_group_IT_number 2
loop_
_space_group_symop_operation_xyz
'x,y,z'
'-x,-y,-z'
loop_
_atom_site_label
_atom_site_type_symbol
_atom_site_fract_x
_atom_site_fract_y
_atom_site_fract_z
_atom_site_occupancy
Sr1 Sr 0.0355 0.2264 0.0567 1
Sr2 Sr 0.1175 0.2947 0.6334 1
Sr3 Sr 0.2624 0.7741 0.5563 1
Sr4 Sr 0.4125 0.7068 0.1331 1
Ge1 Ge 0.3757 0.2481 0.2500 1
N1 N 0.2113 0.0802 0.3401 1
N2 N 0.2228 0.4603 0.0917 1
N3 N 0.2930 0.9225 0.8398 1
N4 N 0.3179 0.4600 0.4078 1
# Total magnetic moment   0.000 μB/atom
# Relative energy among the computed polymorphs   0 meV per atom



Entry 16:
# Sr5GeN6 PBE-GGA relaxed
data_Sr5GeN6
_cell_length_a 6.3165
_cell_length_b 11.4685
_cell_length_c 6.2381
_cell_angle_alpha 90.00
_cell_angle_beta 106.21
_cell_angle_gamma 90.00
_space_group_name_H-M_alt 'C 1 2/m 1'
_space_group_IT_number 12
loop_
_space_group_symop_operation_xyz
'x,y,z'
'-x,-y,-z'
'-x,y,-z'
'x,-y,z'
'x+1/2,y+1/2,z'
'-x+1/2,-y+1/2,-z'
'-x+1/2,y+1/2,-z'
'x+1/2,-y+1/2,z'
loop_
_atom_site_label
_atom_site_type_symbol
_atom_site_fract_x
_atom_site_fract_y
_atom_site_fract_z
_atom_site_occupancy
Sr1 Sr 0.0000 0.0000 0.0000 1
Sr2 Sr 0.0000 0.1723 0.5000 1
Sr3 Sr 0.0000 0.3380 0.0000 1
Ge1 Ge 0.0000 0.5000 0.5000 1
N1 N 0.1850 0.5000 0.3240 1
N2 N 0.2384 0.1659 0.2340 1
# Total magnetic moment   0.335 μB/atom



Entry 17:
# Sr2GeN2 PBE-GGA relaxed
data_Sr2GeN2
_cell_length_a 5.4609
_cell_length_b 11.4820
_cell_length_c 12.2861
_cell_angle_alpha 90.00
_cell_angle_beta 90.00
_cell_angle_gamma 90.00
_space_group_name_H-M_alt 'C m c e'
_space_group_IT_number 64
_space_group_name_Hall '-C 2ac 2'
loop_
_atom_site_label
_atom_site_type_symbol
_atom_site_fract_x
_atom_site_fract_y
_atom_site_fract_z
_atom_site_occupancy
Sr1 Sr 0.0000 0.0476 0.1426 1
Sr2 Sr 0.0000 0.1445 0.5575 1
Ge1 Ge 0.0000 0.2397 0.3195 1
N1 N 0.0000 0.0791 0.3586 1
N2 N 0.0000 0.1599 0.9395 1
# Total magnetic moment   0.000 μB/atom
# Relative energy among the computed polymorphs   5 meV per atom



Entry 18:
# Sr5GeN PBE-GGA relaxed
data_Sr5GeN
_cell_length_a 12.7629
_cell_length_b 8.7322
_cell_length_c 10.3705
_cell_angle_alpha 90.00
_cell_angle_beta 114.88
_cell_angle_gamma 90.00
_space_group_name_H-M_alt 'C 1 2/c 1'
_space_group_IT_number 15
loop_
_space_group_symop_operation_xyz
'x,y,z'
'-x,-y,-z'
'-x,y,-z+1/2'
'x,-y,z+1/2'
'x+1/2,y+1/2,z'
'-x+1/2,-y+1/2,-z'
'-x+1/2,y+1/2,-z+1/2'
'x+1/2,-y+1/2,z+1/2'
loop_
_atom_site_label
_atom_site_type_symbol
_atom_site_fract_x
_atom_site_fract_y
_atom_site_fract_z
_atom_site_occupancy
Sr1 Sr 0.0000 0.0633 0.2500 1
Sr2 Sr 0.0401 0.2947 0.9748 1
Sr3 Sr 0.2283 0.0466 0.6254 1
Ge1 Ge 0.0000 0.4220 0.2500 1
N1 N 0.0000 0.0000 0.0000 1
# Total magnetic moment   0.000 μB/atom



Entry 19:
# Sr2GeN PBE-GGA relaxed
data_Sr2GeN
_cell_length_a 3.7230
_cell_length_b 3.7230
_cell_length_c 27.8380
_cell_angle_alpha 90.00
_cell_angle_beta 90.00
_cell_angle_gamma 120.00
_space_group_name_H-M_alt 'R -3 m'
_space_group_IT_number 166
_space_group_name_Hall '-R 3 2"'
loop_
_atom_site_label
_atom_site_type_symbol
_atom_site_fract_x
_atom_site_fract_y
_atom_site_fract_z
_atom_site_occupancy
Sr1 Sr 0.0000 0.0000 0.1166 1
Ge1 Ge 0.0000 0.0000 0.0000 1
N1 N 0.0000 0.0000 0.5000 1
# Total magnetic moment   0.000 μB/atom



Entry 20:
# Sr5Ge2N6 PBE-GGA relaxed
data_Sr5Ge2N6
_cell_length_a 10.2764
_cell_length_b 12.4889
_cell_length_c 3.4599
_cell_angle_alpha 90.00
_cell_angle_beta 90.00
_cell_angle_gamma 90.00
_space_group_name_H-M_alt 'P b a m'
_space_group_IT_number 55
loop_
_space_group_symop_operation_xyz
'x,y,z'
'-x,-y,-z'
'-x,-y,z'
'x,y,-z'
'x+1/2,-y+1/2,-z'
'-x+1/2,y+1/2,z'
'-x+1/2,y+1/2,-z'
'x+1/2,-y+1/2,z'
loop_
_atom_site_label
_atom_site_type_symbol
_atom_site_fract_x
_atom_site_fract_y
_atom_site_fract_z
_atom_site_occupancy
Sr1 Sr 0.0000 0.0000 0.0000 1
Sr2 Sr 0.0377 0.2510 0.0000 1
Sr3 Sr 0.1685 0.4979 0.0000 1
Ge1 Ge 0.2111 0.7040 0.5000 1
N1 N 0.0573 0.6220 0.5000 1
N2 N 0.1470 0.1046 0.5000 1
N3 N 0.2139 0.7983 0.0000 1
# Total magnetic moment   0.000 μB/atom



In eV per atom, the energy relative to the elements, uncorrected values for the records above are, in order, 0.37, 0.25, 0.35, 0.36, 0.48, 0.61, 0.49, -0.98, -0.99, -0.46, -0.39, -0.35, 0.25, -0.58, -0.60, -0.05, -0.67, -0.36, -0.19, -0.47.